## CsErMnSe4 (PBE)

Data for crystalline CsErMnSe4 at its relaxed geometry.

Cell and atoms, written as POSCAR:
```
CsErMnSe4
1.0
-5.616 -3.588 0.361
2.025 -2.574 5.928
-1.511 8.811 4.343
Cs Er Mn Se
2 2 2 8
Direct
0.747 0.750 0.942
0.253 0.250 0.058
0.769 0.750 0.453
0.231 0.250 0.547
0.222 0.750 0.337
0.778 0.250 0.663
0.021 0.508 0.694
0.979 0.008 0.306
0.979 0.492 0.306
0.021 0.992 0.694
0.427 0.750 0.189
0.573 0.250 0.811
0.426 0.750 0.572
0.574 0.250 0.428
```

## Properties
total DFT energy (no corrections): -0.3789 Ry per atom
M_tot: 6.0 μB per cell
formation energy (no corrections): -1.080 eV/atom
SG: P2_1/m (11)